(1)
! Pu2PdPt2, relaxed, DFT PBE; values from VASP
&SYSTEM
  ibrav = 0, nat = 5, ntyp = 3
/
ATOMIC_SPECIES
Pu 244.00 Pu.upf
Pd 106.42 Pd.upf
Pt 195.08 Pt.upf
CELL_PARAMETERS angstrom
-2.311 2.798 4.068
2.311 -2.798 4.068
2.311 2.798 -4.068
ATOMIC_POSITIONS crystal
Pu 0.192 0.192 0.000
Pu 0.808 0.808 0.000
Pd 0.500 0.000 0.500
Pt 0.237 0.500 0.737
Pt 0.763 0.500 0.263
! - Final energy: -9.89 eV/atom
! - SG: Immm
! - Calculated formation energy: -0.705 eV per atom
! - Distance to the lowest polymorph of the same formula: 0 meV/atom

(2)
! Tb3Co5H12, relaxed, DFT PBE; values from VASP
&SYSTEM
  ibrav = 0, nat = 80, ntyp = 3
/
ATOMIC_SPECIES
Tb 158.93 Tb.upf
Co 58.93 Co.upf
H 1.01 H.upf
CELL_PARAMETERS angstrom
-5.581 5.581 5.581
5.581 -5.581 5.581
5.581 5.581 -5.581
ATOMIC_POSITIONS crystal
Tb 0.125 0.250 0.375
Tb 0.125 0.375 0.750
Tb 0.250 0.375 0.125
Tb 0.250 0.875 0.625
Tb 0.375 0.125 0.250
Tb 0.375 0.750 0.125
Tb 0.625 0.250 0.875
Tb 0.625 0.875 0.750
Tb 0.750 0.125 0.375
Tb 0.750 0.625 0.875
Tb 0.875 0.625 0.250
Tb 0.875 0.750 0.625
Co 0.000 0.000 0.000
Co 0.000 0.000 0.500
Co 0.000 0.500 0.000
Co 0.000 0.500 0.500
Co 0.125 0.750 0.875
Co 0.125 0.875 0.250
Co 0.250 0.125 0.875
Co 0.250 0.625 0.375
Co 0.375 0.250 0.625
Co 0.375 0.625 0.750
Co 0.500 0.000 0.000
Co 0.500 0.000 0.500
Co 0.500 0.500 0.000
Co 0.500 0.500 0.500
Co 0.625 0.375 0.250
Co 0.625 0.750 0.375
Co 0.750 0.375 0.625
Co 0.750 0.875 0.125
Co 0.875 0.125 0.750
Co 0.875 0.250 0.125
H 0.012 0.188 0.103
H 0.012 0.324 0.908
H 0.085 0.688 0.676
H 0.085 0.897 0.408
H 0.092 0.603 0.415
H 0.092 0.988 0.676
H 0.103 0.012 0.188
H 0.103 0.592 0.915
H 0.176 0.188 0.585
H 0.176 0.488 0.592
H 0.188 0.103 0.012
H 0.188 0.585 0.176
H 0.312 0.324 0.915
H 0.312 0.488 0.397
H 0.324 0.908 0.012
H 0.324 0.915 0.312
H 0.397 0.312 0.488
H 0.397 0.585 0.908
H 0.408 0.085 0.897
H 0.408 0.824 0.512
H 0.415 0.092 0.603
H 0.415 0.824 0.812
H 0.488 0.397 0.312
H 0.488 0.592 0.176
H 0.512 0.408 0.824
H 0.512 0.603 0.688
H 0.585 0.176 0.188
H 0.585 0.908 0.397
H 0.592 0.176 0.488
H 0.592 0.915 0.103
H 0.603 0.415 0.092
H 0.603 0.688 0.512
H 0.676 0.085 0.688
H 0.676 0.092 0.988
H 0.688 0.512 0.603
H 0.688 0.676 0.085
H 0.812 0.415 0.824
H 0.812 0.897 0.988
H 0.824 0.512 0.408
H 0.824 0.812 0.415
H 0.897 0.408 0.085
H 0.897 0.988 0.812
H 0.908 0.012 0.324
H 0.908 0.397 0.585
H 0.915 0.103 0.592
H 0.915 0.312 0.324
H 0.988 0.676 0.092
H 0.988 0.812 0.897
! - Final energy: -4.71 eV/atom
! - SG: Ia-3d